# 1
Material: CrCoSi2
Method: DFT, PBE-GGA
State: relaxed

Structure (CIF):
```
data_CrCoSi2
_chemical_formula_sum 'Cr4 Co4 Si8'
_cell_length_a 6.4066
_cell_length_b 6.4066
_cell_length_c 5.2294
_cell_angle_alpha 90.00
_cell_angle_beta 90.00
_cell_angle_gamma 90.00
_space_group_name_H-M_alt 'I -4 2 d'
_space_group_IT_number 122
_space_group_name_Hall 'I -4 2bw'
loop_
_atom_site_label
_atom_site_type_symbol
_atom_site_fract_x
_atom_site_fract_y
_atom_site_fract_z
_atom_site_occupancy
Cr1 Cr 0.0000 0.0000 0.0000 1
Co1 Co 0.0000 0.0000 0.5000 1
Si1 Si 0.2198 0.7500 0.6250 1
```


# 2
Material: Rb3Y3NpSe8
Method: DFT, PBE-GGA
State: relaxed

Structure (CIF):
```
data_Rb3Y3NpSe8
_chemical_formula_sum 'Rb9 Y9 Np3 Se24'
_cell_length_a 8.4075
_cell_length_b 8.4075
_cell_length_c 24.4214
_cell_angle_alpha 90.00
_cell_angle_beta 90.00
_cell_angle_gamma 120.00
_space_group_name_H-M_alt 'R -3 m'
_space_group_IT_number 166
_space_group_name_Hall '-R 3 2"'
loop_
_atom_site_label
_atom_site_type_symbol
_atom_site_fract_x
_atom_site_fract_y
_atom_site_fract_z
_atom_site_occupancy
Rb1 Rb 0.0000 0.5000 0.0000 1
Y1 Y 0.0000 0.5000 0.5000 1
Np1 Np 0.0000 0.0000 0.5000 1
Se1 Se 0.0000 0.0000 0.2316 1
Se2 Se 0.0039 0.5020 0.2304 1
```


# 3
Material: CrBiRu2S
Method: DFT, PBE-GGA
State: relaxed

Structure (CIF):
```
data_CrBiRu2S
_chemical_formula_sum 'Cr1 Bi1 Ru2 S1'
_cell_length_a 4.9591
_cell_length_b 4.9591
_cell_length_c 5.1421
_cell_angle_alpha 90.00
_cell_angle_beta 90.00
_cell_angle_gamma 90.00
_space_group_name_H-M_alt 'P 4/m m m'
_space_group_IT_number 123
_space_group_name_Hall '-P 4 2'
loop_
_atom_site_label
_atom_site_type_symbol
_atom_site_fract_x
_atom_site_fract_y
_atom_site_fract_z
_atom_site_occupancy
Cr1 Cr 0.0000 0.0000 0.0000 1
Bi1 Bi 0.5000 0.5000 0.5000 1
Ru1 Ru 0.0000 0.5000 0.5000 1
S1 S 0.5000 0.5000 0.0000 1
```


# 4
Material: TiSb2SeF
Method: DFT, PBE-GGA
State: relaxed

Structure (CIF):
```
data_TiSb2SeF
_chemical_formula_sum 'Ti1 Sb2 Se1 F1'
_cell_length_a 5.4230
_cell_length_b 5.4230
_cell_length_c 3.8434
_cell_angle_alpha 90.00
_cell_angle_beta 90.00
_cell_angle_gamma 90.00
_space_group_name_H-M_alt 'P 4/m m m'
_space_group_IT_number 123
_space_group_name_Hall '-P 4 2'
loop_
_atom_site_label
_atom_site_type_symbol
_atom_site_fract_x
_atom_site_fract_y
_atom_site_fract_z
_atom_site_occupancy
Ti1 Ti 0.0000 0.0000 0.0000 1
Sb1 Sb 0.0000 0.5000 0.5000 1
Se1 Se 0.5000 0.5000 0.0000 1
F1 F 0.0000 0.0000 0.5000 1
```


Results for ΔE_f (raw): 0.185; -1.622; 2.408; -0.210 (in eV per atom, following the order of the records).